Entry 1:
Below is crystalline Er2ZnPd8 at its relaxed geometry, with properties calculated at the PBE level.

Unit cell a=4.562 b=6.028 c=7.904 alpha=112.30 beta=106.77 gamma=90.00
Fractional coordinates of all 11 atoms:
Er  0.809  0.309  0.617
Er  0.191  0.691  0.383
Zn  0.500  0.000  0.000
Pd  0.366  0.599  0.731
Pd  0.635  0.870  0.271
Pd  0.825  0.824  0.649
Pd  0.000  0.255  0.999
Pd  0.175  0.176  0.351
Pd  0.365  0.130  0.729
Pd  0.634  0.401  0.269
Pd  0.000  0.745  0.001

Properties
- ΔE_f (eV per atom) = -0.625
- space-group type = C2/m, No. 12

=====

Entry 2:
Below is crystalline V4Ir at its relaxed geometry, with properties calculated at the PBE level.

Unit cell a=4.590 b=4.590 c=4.590 alpha=90.00 beta=90.00 gamma=90.00
Fractional coordinates of all 5 atoms:
Ir  0.500  0.500  0.500
V  0.000  0.000  0.000
V  0.500  0.000  0.500
V  0.000  0.500  0.500
V  0.500  0.500  0.000

Properties
- ΔE_f (eV per atom) = 1.127
- energy above the lowest structure with this stoichiometry (meV/atom) = 1274
- space-group type = Pm-3m, No. 221

=====

Entry 3:
Below is crystalline Ba3Bi2Pd9Pb at its relaxed geometry, with properties calculated at the PBE level.

Unit cell a=6.981 b=6.981 c=9.989 alpha=90.00 beta=90.00 gamma=120.00
Fractional coordinates of all 15 atoms:
Ba  0.333  0.667  0.715
Ba  0.000  0.000  0.000
Ba  0.667  0.333  0.285
Bi  0.333  0.667  0.186
Bi  0.667  0.333  0.814
Pd  0.869  0.131  0.719
Pd  0.869  0.738  0.719
Pd  0.262  0.131  0.719
Pd  0.738  0.869  0.281
Pd  0.131  0.262  0.281
Pd  0.131  0.869  0.281
Pd  0.500  0.000  0.000
Pd  0.000  0.500  0.000
Pd  0.500  0.500  0.000
Pb  0.000  0.000  0.500

Properties
- ΔE_f (eV per atom) = -0.331
- space-group type = P-3m1, No. 164

=====

Entry 4:
Below is crystalline DyTm2Cd at its relaxed geometry, with properties calculated at the PBE level.

Unit cell a=3.538 b=3.538 c=8.996 alpha=90.00 beta=90.00 gamma=90.00
Fractional coordinates of all 4 atoms:
Cd  0.500  0.500  0.000
Tm  0.000  0.000  0.772
Tm  0.000  0.000  0.228
Dy  0.500  0.500  0.500

Properties
- ΔE_f (eV per atom) = -0.146
- energy above the lowest structure with this stoichiometry (meV/atom) = 0
- space-group type = P4/mmm, No. 123

=====

- Look up the ΔE_f of the second one.
  1.127 eV per atom